Record 1
GGA-PBE BH2I, relaxed; symmetry = No. 141; energy above the most stable polymorph in this dataset = 911 meV per atom; DFT total energy = -2.863 eV per atom
1.0
5.087 0.000 0.000
0.000 5.087 0.000
2.544 2.544 3.613
I H B
2 4 2
Cartesian
0.000 0.000 0.000 I
5.087 2.544 1.806 I
2.544 3.815 0.903 H
2.543 1.272 0.903 H
6.359 5.087 2.710 H
3.815 5.088 2.710 H
2.544 5.087 1.806 B
2.544 2.544 0.000 B

---

Record 2
GGA-PBE BaMgRe3, relaxed; ΔE_f = 2.4164 eV/atom; symmetry = No. 221; energy above the most stable polymorph in this dataset = 0 meV per atom; DFT total energy = -5.756 eV per atom
1.0
4.811 0.000 0.000
0.000 4.811 0.000
0.000 0.000 4.811
Ba Re Mg
1 3 1
Cartesian
2.406 2.406 2.406 Ba
0.000 2.406 0.000 Re
0.000 0.000 2.406 Re
2.406 0.000 0.000 Re
0.000 0.000 0.000 Mg

---

Record 3
GGA-PBE Li2SmAlSe4, relaxed; ΔE_f (raw) = -1.2822 eV per atom; symmetry = No. 74; DFT total energy = -4.561 eV per atom
1.0
7.912 0.021 -0.214
0.016 7.912 -0.214
-4.059 -4.062 5.826
Se Li Al Sm
8 4 2 2
Cartesian
1.857 -2.148 5.542 Se
1.922 1.781 0.084 Se
1.947 2.091 5.314 Se
3.829 -0.059 2.629 Se
0.155 0.013 2.615 Se
3.713 3.858 2.783 Se
2.011 6.019 -0.144 Se
0.040 3.930 2.769 Se
3.956 0.011 -0.107 Li
3.964 3.967 -0.214 Li
1.926 -2.020 2.806 Li
-2.030 -2.031 2.913 Li
3.853 -4.041 5.612 Al
1.934 1.936 2.699 Al
5.890 1.946 2.592 Sm
0.008 3.956 -0.107 Sm

---

Record 4
GGA-PBE Ca3PbS4, relaxed; ΔE_f (raw) = -1.7326 eV per atom; symmetry = No. 65; DFT total energy = -5.010 eV per atom
1.0
4.091 -0.051 0.070
0.051 6.827 1.988
-0.115 0.392 7.099
S Ca Pb
4 3 1
Cartesian
2.055 5.231 3.348 S
4.045 5.437 6.828 S
1.971 1.939 5.810 S
4.073 1.682 2.399 S
1.988 0.171 3.584 Ca
4.059 3.559 4.613 Ca
3.975 0.341 7.169 Ca
1.956 3.781 8.128 Pb

---

Record 5
GGA-PBE MgNbCr2Cl, relaxed; ΔE_f (raw) = 0.9114 eV per atom; symmetry = No. 123; DFT total energy = -5.640 eV per atom
1.0
-3.102 -2.430 1.399
2.212 -3.715 -1.549
1.952 -0.372 3.680
Cr Nb Cl Mg
2 1 1 1
Cartesian
0.976 -0.186 1.840 Cr
-1.551 -1.215 0.700 Cr
0.531 -3.259 1.765 Nb
0.000 0.000 0.000 Cl
1.106 -1.857 -0.775 Mg

---

Record 6
GGA-PBE NaCaSmBr6, relaxed; ΔE_f (raw) = -1.8575 eV per atom; symmetry = No. 163; DFT total energy = -3.866 eV per atom
1.0
7.398 0.000 0.000
-3.699 6.407 0.000
0.000 0.000 13.297
Br Sm Na Ca
12 2 2 2
Cartesian
-1.105 6.378 8.357 Br
-2.377 4.174 11.589 Br
6.076 2.232 1.709 Br
-1.272 2.261 8.357 Br
4.804 0.028 4.940 Br
2.594 0.028 1.709 Br
1.272 2.261 11.589 Br
1.322 2.232 4.940 Br
2.426 4.146 1.709 Br
2.377 4.174 8.357 Br
4.971 4.146 4.940 Br
1.105 6.378 11.589 Br
0.000 4.271 9.973 Sm
3.699 2.136 3.324 Sm
0.000 0.000 0.000 Na
0.000 0.000 6.649 Na
3.699 2.136 9.973 Ca
0.000 4.271 3.324 Ca

---

Record 7
GGA-PBE KSrBe2, relaxed; ΔE_f = 0.5353 eV/atom; symmetry = No. 38; energy above the most stable polymorph in this dataset = 39 meV per atom; DFT total energy = -2.023 eV per atom
1.0
4.241 0.000 0.000
0.000 5.539 -0.003
0.000 2.765 4.801
K Be Sr
1 2 1
Cartesian
0.000 3.808 2.199 K
0.000 1.034 0.594 Be
2.121 1.038 0.600 Be
2.121 6.578 3.803 Sr

---

Record 8
GGA-PBE Sm8GaGe5, relaxed; ΔE_f = -0.7630 eV/atom; symmetry = No. 82; DFT total energy = -5.325 eV per atom
1.0
7.414 0.000 -2.575
-3.687 6.408 -2.637
-0.040 0.000 7.849
Ge Ga Sm
5 1 8
Cartesian
-1.377 2.417 0.004 Ge
3.687 0.000 2.637 Ge
3.246 3.991 1.333 Ge
3.230 5.604 -2.596 Ge
2.275 0.804 6.533 Ge
-0.020 3.204 3.924 Ga
0.984 1.574 1.615 Sm
1.356 5.666 2.905 Sm
4.663 1.576 0.320 Sm
-1.841 4.834 -2.228 Sm
-1.877 4.832 1.673 Sm
1.367 3.955 -0.960 Sm
3.221 2.452 4.241 Sm
6.875 0.741 2.981 Sm

---

Record 9
GGA-PBE TbLuAs2, relaxed; ΔE_f = -1.5055 eV/atom; symmetry = No. 166; DFT total energy = -6.118 eV per atom
1.0
-1.486 3.612 -1.208
-2.301 0.240 -3.371
-6.737 0.256 2.137
Lu Tb As
1 1 2
Cartesian
0.000 0.000 0.000 Lu
-5.262 2.054 -1.221 Tb
-7.930 3.074 -1.807 As
-2.594 1.034 -0.635 As

---

Record 10
GGA-PBE La3YZn, relaxed; ΔE_f = 0.7315 eV/atom; symmetry = No. 221; energy above the most stable polymorph in this dataset = 494 meV per atom; DFT total energy = -3.773 eV per atom
1.0
-2.639 5.183 -0.593
-2.946 -2.030 -4.624
-4.305 -1.788 3.528
La Y Zn
3 1 1
Cartesian
-1.320 2.591 -0.297 La
-1.473 -1.015 -2.312 La
-2.153 -0.894 1.764 La
0.000 0.000 0.000 Y
-4.945 0.683 -0.844 Zn

---

Record 11
GGA-PBE RbLaIn2, relaxed; ΔE_f = 0.2032 eV/atom; symmetry = No. 122; energy above the most stable polymorph in this dataset = 263 meV per atom; DFT total energy = -2.640 eV per atom
1.0
9.287 0.000 0.000
0.000 9.287 0.000
4.644 4.644 3.602
Rb In La
2 4 2
Cartesian
4.644 4.644 0.000 Rb
4.644 9.287 1.801 Rb
11.609 11.877 2.702 In
6.965 6.698 2.702 In
7.233 2.322 0.901 In
2.054 6.965 0.901 In
9.287 4.644 1.801 La
0.000 0.000 0.000 La

---

Record 12
GGA-PBE PmPdSeO, relaxed; ΔE_f (raw) = -1.8551 eV per atom; symmetry = No. 129; DFT total energy = -6.452 eV per atom
1.0
-2.864 -0.931 -2.828
2.336 -3.136 -1.333
-3.802 -5.196 5.560
Se Pd O Pm
2 2 2 2
Cartesian
-0.035 -3.212 1.092 Se
-4.031 -4.017 2.387 Se
-2.165 -4.631 0.699 Pd
-1.901 -2.598 2.780 Pd
-0.264 -2.033 -2.081 O
0.000 0.000 0.000 O
-1.936 -1.154 -0.678 Pm
-2.130 -6.076 4.157 Pm